1.
The following is a PBE-GGA calculation of an optimized crystal structure of LiPmScBi, from Alexandria.

Unit cell a=5.232 b=5.232 c=5.232 alpha=60.00 beta=60.00 gamma=60.00
Sites, in units of the cell vectors:
Sc 0.250 0.250 0.250
Li 0.000 0.000 0.000
Bi 0.500 0.500 0.500
Pm 0.750 0.750 0.750

Summary:
As for the space group: F-43m (216). Its total DFT energy (no corrections) is -4.506 eV/atom. As for the crystal system: cubic.


2.
The following is a PBE-GGA calculation of an optimized crystal structure of Li2PmBiSe4, from Alexandria.

Unit cell a=4.163 b=6.992 c=7.210 alpha=69.91 beta=90.00 gamma=90.00
Sites, in units of the cell vectors:
Li 0.000 0.000 0.000
Li 0.500 0.000 0.500
Pm 0.000 0.500 0.500
Bi 0.500 0.500 0.000
Se 0.000 0.764 0.746
Se 0.000 0.236 0.254
Se 0.500 0.760 0.247
Se 0.500 0.240 0.753

Summary:
As for the space group: P2/m (10). Its total DFT energy (no corrections) is -4.496 eV/atom. As for the crystal system: monoclinic. As for the energy relative to the elements, uncorrected: -1.196 eV/atom.


Look up the total DFT energy (no corrections) of the first one. -4.506 eV/atom


Among the records above, which one has the highest total DFT energy (no corrections)? Li2PmBiSe4